TbUSe2O | PBE-GGA | optimized geometry

Summary:
SG: No. 129
Formation energy without anion corrections in eV per atom: -2.107
N(E_F) in states/eV/cell: 17.9
Calculated volume in Å³ per cell: 220.1

Cell lengths 3.9728, 3.9728, 13.9436 Å; angles 90.00, 90.00, 90.00 degrees
Last column: magnetic moment on the atom in μB.
Element x y z (fractional)
1 Tb 0.5000 0.0000 0.1022  0.01
2 Tb 0.0000 0.5000 0.8978  0.01
3 U 0.5000 0.0000 0.5892  2.39
4 U 0.0000 0.5000 0.4108  2.39
5 Se 0.0000 0.5000 0.6895  -0.04
6 Se 0.0000 0.5000 0.1108  0.00
7 Se 0.5000 0.0000 0.8892  0.00
8 Se 0.5000 0.0000 0.3105  -0.04
9 O 0.0000 0.0000 0.5000  -0.07
10 O 0.5000 0.5000 0.5000  -0.07

TbYSeO2 | PBE-GGA | optimized geometry

Summary:
SG: No. 107
Formation energy without anion corrections in eV per atom: -3.054
N(E_F) in states/eV/cell: 0.0
Calculated volume in Å³ per cell: 90.5

Cell lengths 3.8522, 3.8522, 6.6818 Å; angles 106.75, 106.75, 90.00 degrees
Element x y z (fractional)
1 Tb 0.1566 0.1566 0.3131
2 Y 0.8434 0.8434 0.6868
3 Se 0.4996 0.4996 0.9992
4 O 0.7502 0.2502 0.5004
5 O 0.2502 0.7502 0.5004

TbYSe2O | PBE-GGA | optimized geometry

Summary:
SG: No. 129
Formation energy without anion corrections in eV per atom: -2.420
N(E_F) in states/eV/cell: 2.2
Calculated volume in Å³ per cell: 230.9

Cell lengths 3.9804, 3.9804, 14.5717 Å; angles 90.00, 90.00, 90.00 degrees
Element x y z (fractional)
1 Tb 0.5000 0.0000 0.5758
2 Tb 0.0000 0.5000 0.4242
3 Y 0.5000 0.0000 0.1287
4 Y 0.0000 0.5000 0.8713
5 Se 0.0000 0.5000 0.6906
6 Se 0.0000 0.5000 0.0879
7 Se 0.5000 0.0000 0.9121
8 Se 0.5000 0.0000 0.3094
9 O 0.0000 0.0000 0.5000
10 O 0.5000 0.5000 0.5000

Tc2SeO | PBE-GGA | optimized geometry

Summary:
SG: No. 122
Formation energy without anion corrections in eV per atom: -0.196
N(E_F) in states/eV/cell: 5.8
E above lowest polymorph in meV/atom: 0
Calculated volume in Å³ per cell: 122.9

Cell lengths 4.2561, 4.2561, 7.4210 Å; angles 73.34, 73.34, 90.00 degrees
Element x y z (fractional)
1 O 0.5000 0.5000 0.0000
2 O 0.2500 0.7500 0.5000
3 Tc 0.5321 0.1250 0.2500
4 Tc 0.2179 0.6250 0.2500
5 Tc 0.3750 0.4679 0.7500
6 Tc 0.8750 0.7821 0.7500
7 Se 0.0000 0.0000 0.0000
8 Se 0.7500 0.2500 0.5000

Tc2SeO | PBE-GGA | optimized geometry

Summary:
SG: No. 225
Formation energy without anion corrections in eV per atom: 0.165
N(E_F) in states/eV/cell: 3.9
E above lowest polymorph in meV/atom: 361
Calculated volume in Å³ per cell: 51.1

Cell lengths 4.1647, 4.1647, 4.1647 Å; angles 60.00, 60.00, 60.00 degrees
Element x y z (fractional)
1 O 0.0000 0.0000 0.0000
2 Tc 0.2500 0.2500 0.2500
3 Tc 0.7500 0.7500 0.7500
4 Se 0.5000 0.5000 0.5000

TcSeO | PBE-GGA | optimized geometry

Summary:
SG: No. 4
Formation energy without anion corrections in eV per atom: -0.593
N(E_F) in states/eV/cell: 7.6
Calculated volume in Å³ per cell: 196.0

Cell lengths 5.4887, 6.0260, 6.1789 Å; angles 106.43, 90.00, 90.00 degrees
Element x y z (fractional)
1 Se 0.2346 0.3580 0.8675
2 Se 0.2430 0.9411 0.2522
3 Se 0.7430 0.0589 0.7478
4 Se 0.7346 0.6420 0.1325
5 O 0.7696 0.5675 0.6118
6 O 0.7689 0.1834 0.2814
7 O 0.2689 0.8166 0.7186
8 O 0.2696 0.4325 0.3882
9 Tc 0.9874 0.2886 0.5251
10 Tc 0.4874 0.7114 0.4749
11 Tc 0.5003 0.2899 0.1449
12 Tc 0.0003 0.7101 0.8551

Tc3SeO12 | PBE-GGA | optimized geometry

Summary:
SG: No. 161
Formation energy without anion corrections in eV per atom: -1.087
N(E_F) in states/eV/cell: 15.5
Calculated volume in Å³ per cell: 654.0

Cell lengths 8.7116, 8.7116, 11.1492 Å; angles 67.00, 67.00, 60.00 degrees
Last column: magnetic moment on the atom in μB.
Element x y z (fractional)
1 Tc 0.7146 0.3177 0.0055  0.14
2 Tc 0.2146 0.4621 0.5055  0.14
3 Tc 0.8177 0.2146 0.5055  0.14
4 Tc 0.3177 0.9621 0.0055  0.14
5 Tc 0.9621 0.7146 0.0055  0.14
6 Tc 0.4621 0.8177 0.5055  0.14
7 Se 0.0963 0.0963 0.7112  0.07
8 Se 0.5963 0.5963 0.2112  0.07
9 O 0.1014 0.0913 0.0835  0.02
10 O 0.2299 0.2296 0.6224  0.00
11 O 0.9550 0.0090 0.4636  0.04
12 O 0.8886 0.3174 0.8588  0.01
13 O 0.3886 0.4352 0.3588  0.01
14 O 0.4550 0.0724 0.9636  0.04
15 O 0.7299 0.4182 0.1224  0.00
16 O 0.0090 0.5724 0.4636  0.04
17 O 0.6014 0.2238 0.5835  0.02
18 O 0.9182 0.2299 0.6224  0.00
19 O 0.8174 0.3886 0.3588  0.01
20 O 0.2238 0.5913 0.5835  0.02
21 O 0.0724 0.5090 0.9636  0.04
22 O 0.7238 0.1014 0.0835  0.02
23 O 0.3174 0.9352 0.8588  0.01
24 O 0.4182 0.7296 0.1224  0.00
25 O 0.7296 0.7299 0.1224  0.00
26 O 0.5090 0.4550 0.9636  0.04
27 O 0.5913 0.6014 0.5835  0.02
28 O 0.9352 0.8886 0.8588  0.01
29 O 0.4352 0.8174 0.3588  0.01
30 O 0.0913 0.7238 0.0835  0.02
31 O 0.2296 0.9182 0.6224  0.00
32 O 0.5724 0.9550 0.4636  0.04

TcSe2O6 | PBE-GGA | optimized geometry

Summary:
SG: No. 2
Formation energy without anion corrections in eV per atom: -0.790
N(E_F) in states/eV/cell: 2.3
Calculated volume in Å³ per cell: 128.6

Cell lengths 3.4275, 8.5208, 9.8298 Å; angles 27.24, 101.89, 100.53 degrees
Last column: magnetic moment on the atom in μB.
Element x y z (fractional)
1 Tc 0.0000 0.0000 0.0000  0.17
2 Se 0.5070 0.7411 0.5344  0.00
3 Se 0.4930 0.2589 0.4656  0.00
4 O 0.7528 0.3387 0.2831  0.00
5 O 0.9141 0.1569 0.6926  0.01
6 O 0.2472 0.6613 0.7169  0.00
7 O 0.5268 0.2924 0.8151  0.00
8 O 0.0859 0.8431 0.3074  0.01
9 O 0.4732 0.7076 0.1849  0.00

Copy entry 4 word for word.
Tc2SeO | PBE-GGA | optimized geometry

Summary:
SG: No. 122
Formation energy without anion corrections in eV per atom: -0.196
N(E_F) in states/eV/cell: 5.8
E above lowest polymorph in meV/atom: 0
Calculated volume in Å³ per cell: 122.9

Cell lengths 4.2561, 4.2561, 7.4210 Å; angles 73.34, 73.34, 90.00 degrees
Element x y z (fractional)
1 O 0.5000 0.5000 0.0000
2 O 0.2500 0.7500 0.5000
3 Tc 0.5321 0.1250 0.2500
4 Tc 0.2179 0.6250 0.2500
5 Tc 0.3750 0.4679 0.7500
6 Tc 0.8750 0.7821 0.7500
7 Se 0.0000 0.0000 0.0000
8 Se 0.7500 0.2500 0.5000

What is the N(E_F) in the fourth record? 5.8 states/eV/cell